Density functional theory data (PBEsol) for a relaxed LiCr2Tc crystal.

Computed properties:
**Energy**: -32.41 eV/f.u.
**N(E_F)**: 0.760 states/eV per atom
**E_form**: 326 meV per atom

a = 2.449 Å, b = 4.048 Å, c = 4.887 Å
α = 90.00°, β = 99.28°, γ = 90.00°
Atoms (fractional coordinates):
Cr 0.996 0.000 0.007
Cr 0.747 0.500 0.247
Li 0.522 0.000 0.497
Tc 0.235 0.500 0.749

***

Density functional theory data (PBEsol) for a relaxed Y3TaB crystal.

Computed properties:
**Energy**: -37.40 eV/f.u.
**N(E_F)**: 1.263 states/eV per atom
**E_form**: 526 meV per atom

a = 4.938 Å, b = 4.938 Å, c = 4.938 Å
α = 90.00°, β = 90.00°, γ = 90.00°
Atoms (fractional coordinates):
Y 0.000 0.500 0.000
Y 0.000 0.000 0.500
Y 0.500 0.000 0.000
B 0.000 0.000 0.000
Ta 0.500 0.500 0.500

***

Density functional theory data (PBEsol) for a relaxed CaTlTe2 crystal.

Computed properties:
**Energy relative to the elements, uncorrected**: -0.430 eV/atom
**Energy**: -13.54 eV/f.u.
**N(E_F)**: 0.690 states/eV per atom

a = 5.482 Å, b = 5.482 Å, c = 5.482 Å
α = 60.00°, β = 60.00°, γ = 60.00°
Atoms (fractional coordinates):
Tl 0.250 0.250 0.250
Te 0.000 0.000 0.000
Te 0.750 0.750 0.750
Ca 0.500 0.500 0.500

***

Density functional theory data (PBEsol) for a relaxed Ta2Mn crystal.

Computed properties:
**Energy**: -35.31 eV/f.u.
**N(E_F)**: 0.415 states/eV per atom
**E_form**: -148 meV per atom

a = 3.070 Å, b = 3.070 Å, c = 5.297 Å
α = 106.84°, β = 106.84°, γ = 90.00°
Atoms (fractional coordinates):
Mn 0.500 0.500 0.000
Ta 0.155 0.155 0.310
Ta 0.845 0.845 0.690

***

Density functional theory data (PBEsol) for a relaxed Ca3Cd crystal.

Computed properties:
**Energy**: -8.15 eV/f.u.
**N(E_F)**: 1.083 states/eV per atom
**E_form**: -138 meV per atom

a = 3.940 Å, b = 5.793 Å, c = 6.837 Å
α = 115.07°, β = 106.75°, γ = 90.00°
Atoms (fractional coordinates):
Ca 0.711 0.794 0.423
Ca 0.289 0.371 0.577
Ca 0.500 0.083 0.000
Cd 0.000 0.585 0.000

***

Density functional theory data (PBEsol) for a relaxed TaPAu2 crystal.

Computed properties:
**Energy**: -25.72 eV/f.u.
**N(E_F)**: 0.360 states/eV per atom
**E_form**: 117 meV per atom

a = 2.864 Å, b = 2.864 Å, c = 8.100 Å
α = 90.00°, β = 90.00°, γ = 90.00°
Atoms (fractional coordinates):
Au 0.000 0.000 0.750
Au 0.000 0.000 0.250
P 0.500 0.500 0.000
Ta 0.500 0.500 0.500

***

Density functional theory data (PBEsol) for a relaxed Rb2HgBiI6 crystal.

Computed properties:
**Energy relative to the elements, uncorrected**: -0.762 eV/atom
**Energy**: -25.12 eV/f.u.
**N(E_F)**: 0.227 states/eV per atom

a = 8.587 Å, b = 8.587 Å, c = 8.587 Å
α = 60.00°, β = 60.00°, γ = 60.00°
Atoms (fractional coordinates):
Rb 0.750 0.750 0.750
Rb 0.250 0.250 0.250
Hg 0.500 0.500 0.500
Bi 0.000 0.000 0.000
I 0.749 0.251 0.251
I 0.749 0.749 0.251
I 0.251 0.749 0.749
I 0.749 0.251 0.749
I 0.251 0.749 0.251
I 0.251 0.251 0.749

***

Density functional theory data (PBEsol) for a relaxed TaHg2RuPb crystal.

Computed properties:
**Energy**: -22.88 eV/f.u.
**N(E_F)**: 0.835 states/eV per atom
**E_form**: 994 meV per atom

a = 4.558 Å, b = 5.356 Å, c = 5.356 Å
α = 90.00°, β = 90.00°, γ = 90.00°
Atoms (fractional coordinates):
Pb 0.500 0.500 0.500
Ru 0.500 0.000 0.000
Hg 0.000 0.000 0.500
Hg 0.000 0.500 0.000
Ta 0.000 0.000 0.000

***

Density functional theory data (PBEsol) for a relaxed Sc2Mn2Ni crystal.

Computed properties:
**Energy**: -38.46 eV/f.u.
**N(E_F)**: 1.014 states/eV per atom
**E_form**: 85 meV per atom

a = 3.116 Å, b = 3.116 Å, c = 8.111 Å
α = 101.08°, β = 101.08°, γ = 90.00°
Atoms (fractional coordinates):
Mn 0.250 0.750 0.500
Mn 0.750 0.250 0.500
Ni 0.000 0.000 0.000
Sc 0.602 0.602 0.204
Sc 0.398 0.398 0.796

***

Density functional theory data (PBEsol) for a relaxed SrBe2Cu crystal.

Computed properties:
**Energy**: -10.37 eV/f.u.
**N(E_F)**: 0.420 states/eV per atom
**Polymorph energy (0 for the lowest one)**: 630 meV per atom
**E_form**: 950 meV per atom

a = 2.966 Å, b = 4.735 Å, c = 5.594 Å
α = 112.78°, β = 101.99°, γ = 97.80°
Atoms (fractional coordinates):
Sr 0.500 0.000 0.000
Cu 0.000 0.500 0.000
Be 0.500 0.500 0.500
Be 0.000 0.000 0.500

***

Density functional theory data (PBEsol) for a relaxed CaCoC crystal.

Computed properties:
**Energy**: -19.85 eV/f.u.
**N(E_F)**: 0.635 states/eV per atom
**E_form**: -112 meV per atom

a = 3.578 Å, b = 4.957 Å, c = 5.568 Å
α = 70.43°, β = 80.31°, γ = 89.74°
Atoms (fractional coordinates):
Ca 0.219 0.322 0.312
Ca 0.781 0.678 0.688
Co 0.713 0.898 0.140
Co 0.287 0.102 0.860
C 0.196 0.854 0.207
C 0.804 0.146 0.793

***

Density functional theory data (PBEsol) for a relaxed NaScTeRu2 crystal.

Computed properties:
**Energy relative to the elements, uncorrected**: 1.023 eV/atom
**Energy**: -26.76 eV/f.u.
**N(E_F)**: 1.337 states/eV per atom

a = 4.652 Å, b = 4.652 Å, c = 5.470 Å
α = 90.00°, β = 90.00°, γ = 90.00°
Atoms (fractional coordinates):
Sc 0.000 0.000 0.000
Ru 0.000 0.500 0.000
Ru 0.500 0.000 0.000
Te 0.000 0.000 0.500
Na 0.500 0.500 0.500